Material: PaZnOs
Method: DFT, PBE
State: relaxed

Unit cell a=3.689 b=3.689 c=9.005 alpha=90.00 beta=90.00 gamma=90.00
Space group I4mm (No. 107)
Unique sites:
Pa1 0.000 0.000 0.000 x2
Zn1 0.000 0.000 0.314 x2
Os1 0.000 0.000 0.615 x2

## Properties
ρ, g/cm³: 13.19
Distance to the lowest polymorph of the same formula, eV per atom: 0.3668
ΔH_f (0 K), kJ per mole of atoms: 8
V, Å³/cell: 122.5